The following is a DFT calculation (SCAN) of a crystal of Tb2CdCu2 relaxed with PBEsol.

E_form, eV per formula unit: -1.796

a = 7.470 Å, b = 7.470 Å, c = 3.616 Å
α = 90.00°, β = 90.00°, γ = 90.00°
Space group P4/mbm (No. 127)
Symmetry-distinct sites (fractional):
Tb 0.174 0.326 0.000 [4 per cell]
Cd 0.000 0.000 0.500 [2 per cell]
Cu 0.120 0.620 0.500 [4 per cell]